DFT (PBE) results for a relaxed Y2MgCu crystal.

## Properties
Symmetry = No. 63
ρ = 4.158 g cm⁻³
E_tot = -4.590 eV per atom

a b c (Å): 3.6331 20.9730 5.5690
angles (deg): 90.00 90.00 90.00
Positions (direct):
Y 0.0000 0.0529 0.2500
Y 0.0000 0.2129 0.7500
Y 0.0000 0.7871 0.2500
Y 0.0000 0.9471 0.7500
Y 0.5000 0.2871 0.2500
Y 0.5000 0.4471 0.7500
Y 0.5000 0.5529 0.2500
Y 0.5000 0.7129 0.7500
Mg 0.0000 0.4238 0.2500
Mg 0.0000 0.5762 0.7500
Mg 0.5000 0.0762 0.7500
Mg 0.5000 0.9238 0.2500
Cu 0.0000 0.1842 0.2500
Cu 0.0000 0.8158 0.7500
Cu 0.5000 0.3158 0.7500
Cu 0.5000 0.6842 0.2500


DFT (PBE) results for a relaxed YMg4Cu2 crystal.

## Properties
Symmetry = No. 140
Energy above the most stable polymorph in this dataset = 0.1881 eV/atom
ρ = 3.609 g cm⁻³
E_tot = -2.938 eV per atom

a b c (Å): 7.2079 7.2079 7.2079
angles (deg): 109.83 109.83 108.75
Positions (direct):
Y 0.2500 0.2500 0.0000
Y 0.7500 0.7500 0.0000
Mg 0.0140 0.5140 0.2083
Mg 0.1943 0.9860 0.5000
Mg 0.3057 0.8057 0.7917
Mg 0.4860 0.6943 0.5000
Mg 0.5140 0.3057 0.5000
Mg 0.6943 0.1943 0.2083
Mg 0.8057 0.0140 0.5000
Mg 0.9860 0.4860 0.7917
Cu 0.1517 0.3483 0.5000
Cu 0.3483 0.8483 0.1966
Cu 0.6517 0.1517 0.8034
Cu 0.8483 0.6517 0.5000


DFT (PBE) results for a relaxed Y2Mg2Cu crystal.

## Properties
Symmetry = No. 63
Energy above the most stable polymorph in this dataset = 0.3578 eV/atom
ρ = 3.433 g cm⁻³
E_tot = -3.797 eV per atom

a b c (Å): 6.2748 6.2748 7.2282
angles (deg): 90.00 90.00 80.25
Positions (direct):
Y 0.1880 0.1880 0.0000
Y 0.1880 0.1880 0.5000
Y 0.8119 0.8119 0.0000
Y 0.8119 0.8119 0.5000
Mg 0.3286 0.6714 0.5540
Mg 0.3286 0.6714 0.9460
Mg 0.6714 0.3286 0.0540
Mg 0.6714 0.3286 0.4460
Cu 0.1576 0.8424 0.2500
Cu 0.8424 0.1576 0.7500


DFT (PBE) results for a relaxed Y2MgCu crystal.

## Properties
Symmetry = No. 139
ρ = 4.525 g cm⁻³
E_tot = -4.733 eV per atom

a b c (Å): 4.8314 4.8314 16.7068
angles (deg): 90.00 90.00 90.00
Positions (direct):
Y 0.0000 0.0000 0.1566
Y 0.0000 0.0000 0.8434
Y 0.0000 0.5000 0.0000
Y 0.0000 0.5000 0.5000
Y 0.5000 0.0000 0.0000
Y 0.5000 0.0000 0.5000
Y 0.5000 0.5000 0.3434
Y 0.5000 0.5000 0.6566
Mg 0.0000 0.0000 0.3503
Mg 0.0000 0.0000 0.6497
Mg 0.5000 0.5000 0.1497
Mg 0.5000 0.5000 0.8503
Cu 0.0000 0.5000 0.2500
Cu 0.0000 0.5000 0.7500
Cu 0.5000 0.0000 0.2500
Cu 0.5000 0.0000 0.7500


DFT (PBE) results for a relaxed Y3Mg2Cu crystal.

## Properties
Symmetry = No. 194
Energy above the most stable polymorph in this dataset = 0.0927 eV/atom
ρ = 3.796 g cm⁻³
E_tot = -4.376 eV per atom

a b c (Å): 6.8079 6.8079 8.2581
angles (deg): 90.00 90.00 120.00
Positions (direct):
Y 0.1681 0.3362 0.2500
Y 0.1681 0.8319 0.2500
Y 0.3362 0.1681 0.7500
Y 0.6638 0.8319 0.2500
Y 0.8319 0.1681 0.7500
Y 0.8319 0.6638 0.7500
Mg 0.3333 0.6667 0.5753
Mg 0.3333 0.6667 0.9247
Mg 0.6667 0.3333 0.0753
Mg 0.6667 0.3333 0.4247
Cu 0.0000 0.0000 0.0000
Cu 0.0000 0.0000 0.5000


DFT (PBE) results for a relaxed YMg3Cu crystal.

## Properties
Symmetry = No. 107
Energy above the most stable polymorph in this dataset = 0.0730 eV/atom
ρ = 3.274 g cm⁻³
E_tot = -3.129 eV per atom

a b c (Å): 4.1387 4.1387 13.3450
angles (deg): 90.00 90.00 90.00
Positions (direct):
Y 0.0000 0.0000 0.0000
Y 0.5000 0.5000 0.5000
Mg 0.0000 0.0000 0.6256
Mg 0.0000 0.5000 0.2940
Mg 0.0000 0.5000 0.7940
Mg 0.5000 0.0000 0.2940
Mg 0.5000 0.0000 0.7940
Mg 0.5000 0.5000 0.1256
Cu 0.0000 0.0000 0.4297
Cu 0.5000 0.5000 0.9297